Computed, not measured: a geometry-optimized Li2FeO structure at the GGA+U level of DFT. Values from VASP.

Computed properties:
energy	-4.14	eV/atom
DOS at the Fermi energy	2.17	states/eV/cell
theoretical density	2056	kg/m3
size of the total moment	7.99	Bohr magnetons per cell

Structure (Quantum ESPRESSO input):
```
&SYSTEM
  ibrav = 0, nat = 8, ntyp = 3
/
ATOMIC_SPECIES
O 16.00 O.upf
Fe 55.84 Fe.upf
Li 6.94 Li.upf
CELL_PARAMETERS angstrom
5.821 0.000 0.000
0.000 5.821 0.000
2.911 2.911 4.086
ATOMIC_POSITIONS crystal
O 0.250 0.750 0.500
Fe 0.750 0.250 0.500
Li 0.386 0.125 0.250
Li 0.375 0.614 0.750
O 0.500 0.500 0.000
Li 0.875 0.636 0.750
Fe 0.000 0.000 0.000
Li 0.364 0.625 0.250
```